Density functional theory data (PBE) for a geometry-optimized Ba2PuBe2O6 structure.

Cell lengths 5.6923, 5.6923, 6.6582 Å; angles 64.69, 64.69, 60.00 degrees
With the nearest neighbours (Å) after each atom.
Fractional coordinates of all 11 atoms:
Ba1 0.7815 0.7815 0.6554  9 O 2.91-2.96
Ba2 0.2185 0.2185 0.3446  9 O 2.91-2.96
Pu1 0.0000 0.0000 0.0000  6 O 2.23
Be1 0.4157 0.4157 0.7528  3 O 1.55
Be2 0.5843 0.5843 0.2472  3 O 1.55
O1 0.7436 0.7436 0.2419  1 Be 1.55
O2 0.2709 0.7436 0.2419  1 Be 1.55
O3 0.7436 0.2709 0.2419  1 Be 1.55
O4 0.2564 0.7291 0.7581  1 Be 1.55
O5 0.7291 0.2564 0.7581  1 Be 1.55
O6 0.2564 0.2564 0.7581  1 Be 1.55

**Raw formation energy**: -2773 meV/atom
**ρ**: 6.5 g/cm³
**Space group**: R-3m (166)